# PmPaCoO6 (PBE+U, relaxed)
data_PmPaCoO6
_symmetry_space_group_name_H-M 'P 3 1 2'
_symmetry_Int_Tables_number 149
_symmetry_space_group_name_Hall 'P 3 2'
_cell_length_a 5.3485
_cell_length_b 5.3485
_cell_length_c 4.8334
_cell_angle_alpha 90.00
_cell_angle_beta 90.00
_cell_angle_gamma 120.00
loop_
_atom_site_label
_atom_site_fract_x
_atom_site_fract_y
_atom_site_fract_z
_atom_site_occupancy
Pm1 0.0000 0.0000 0.0000 1
Pa1 0.6667 0.3333 0.5000 1
Co1 0.3333 0.6667 0.0000 1
O1 0.0242 0.3886 0.2348 1
# - Magnetic moment: 1.0 μB/cell
# - DFT total energy: -7.869 eV/atom